Below is crystalline AlHg2P at its relaxed geometry, with properties calculated at the GGA-PBE level.

Results
As for the energy above the most stable polymorph in this dataset: 0.0446 eV per atom.

```
data_AlHg2P
_cell_length_a 3.434
_cell_length_b 3.434
_cell_length_c 7.872
_cell_angle_alpha 90.00
_cell_angle_beta 90.00
_cell_angle_gamma 90.00
_space_group_name_H-M_alt 'P 4 m m'
_space_group_IT_number 99
_space_group_name_Hall 'P 4 -2'
loop_
_atom_site_label
_atom_site_fract_x
_atom_site_fract_y
_atom_site_fract_z
Al1 0.000 0.000 0.000
Hg1 0.000 0.000 0.662
Hg2 0.500 0.500 0.398
P1 0.500 0.500 0.062
```

=====

Below is crystalline MgBiMoPt2 at its relaxed geometry, with properties calculated at the GGA-PBE level.

```
data_MgBiMoPt2
_cell_length_a 4.872
_cell_length_b 4.872
_cell_length_c 4.986
_cell_angle_alpha 90.00
_cell_angle_beta 90.00
_cell_angle_gamma 90.00
_space_group_name_H-M_alt 'P 4/m m m'
_space_group_IT_number 123
_space_group_name_Hall '-P 4 2'
loop_
_atom_site_label
_atom_site_fract_x
_atom_site_fract_y
_atom_site_fract_z
Mg1 0.000 0.000 0.000
Bi1 0.500 0.500 0.000
Mo1 0.000 0.000 0.500
Pt1 0.000 0.500 0.500
```

=====

Number 1: total DFT energy (no corrections) -9.77 eV per formula unit, total moment 0.00 μB per cell, DOS at the Fermi energy 1.24 states/eV per cell. Number 2: total DFT energy (no corrections) -24.75 eV per formula unit, total moment 0.00 μB per cell, DOS at the Fermi energy 3.76 states/eV per cell.